## AsIr3Os (GGA-PBE)

Data for a relaxed AsIr3Os crystal.

Values from the calculation:
Its electronic total energy is -6.665 eV/atom. Its calculated volume is 106.4 Å³ per cell. The calculation puts the spin magnetization at 0.000 μB per atom. As for the space-group type: Pm-3m (221). The energy of formation from the pure elements is 1.83 eV/atom.

Lattice parameters (Å, degrees): 4.738 4.738 4.738 90.00 90.00 90.00
Element x y z (fractional)
As 0.000 0.000 0.000
Ir 0.000 0.500 0.500
Ir 0.500 0.000 0.500
Ir 0.500 0.500 0.000
Os 0.500 0.500 0.500